Entry from the Alexandria database: an optimized crystal structure of Ti5Co2OsPd2 (GGA-PBE).

The calculation puts the total magnetization at 0.0 Bohr magnetons per cell. As for the density: 8.27 Mg/m³. The formation enthalpy at 0 K comes out at -332 meV per atom.

It has space group P4/mbm (No. 127), with a = 10.0600 Å, b = 10.0600 Å, c = 3.0182 Å, α = 90.00°, β = 90.00° and γ = 90.00°. The distinct sites, in fractional coordinates, are Ti at (0.0000, 0.5000, 0.0000), Ti at (0.0801, 0.1963, 0.0000), Co at (0.1282, 0.3718, 0.5000), Os at (0.0000, 0.0000, 0.5000) and Pd at (0.1682, 0.6682, 0.5000).